# 1
{"formula": "Sm6Ni2SeBr3", "functional": "PBE", "state": "optimized geometry", "final_energy_ev_per_cell": -60.9, "magnetic_moment_mub_per_fu": 0.0, "e_form_raw_ev_per_atom": -1.04, "cell": [[7.178, 0.012, 0.000], [-3.577, 6.223, 0.000], [-1.200, -2.078, 7.349]], "species": ["Sm", "Sm", "Sm", "Sm", "Sm", "Sm", "Se", "Br", "Br", "Br", "Ni", "Ni"], "fractional_positions": [[0.067, 0.426, 0.198], [0.707, 0.707, 0.197], [0.293, 0.293, 0.803], [0.426, 0.067, 0.198], [0.933, 0.574, 0.802], [0.574, 0.933, 0.802], [0.000, 0.000, 0.000], [0.500, 0.500, 0.500], [0.841, 0.159, 0.500], [0.159, 0.841, 0.500], [0.667, 0.333, 0.000], [0.333, 0.667, 0.000]]}

---

# 2
{"formula": "K2ScCo", "functional": "PBE", "state": "optimized geometry", "polymorph_energy_ev_per_fu": 0.88, "e_form_ev_per_atom": 0.579, "final_energy_ev_per_cell": -13.3, "magnetic_moment_mub_per_fu": 0.0, "cell": [[-6.451, -3.208, -0.948], [-1.598, -6.098, 3.613], [1.559, 7.093, -0.259]], "species": ["Co", "Sc", "K", "K"], "fractional_positions": [[0.290, 0.790, 0.500], [0.410, 0.410, 0.000], [0.742, 0.242, 0.500], [0.058, 0.058, 0.000]]}

---

# 3
{"formula": "InNi2AsPt", "functional": "PBE", "state": "optimized geometry", "e_form_ev_per_atom": 0.213, "final_energy_ev_per_cell": -23.9, "magnetic_moment_mub_per_fu": 0.0, "cell": [[-2.863, -3.107, -1.064], [2.577, -1.050, -3.869], [2.288, -2.900, 2.311]], "species": ["Pt", "As", "Ni", "Ni", "In"], "fractional_positions": [[0.000, 0.500, 0.000], [0.000, 0.000, 0.000], [0.500, 0.000, 0.000], [0.000, 0.000, 0.500], [0.500, 0.500, 0.500]]}

---

# 4
{"formula": "PmCuGe2", "functional": "PBE", "state": "optimized geometry", "polymorph_energy_ev_per_fu": 0.41, "e_form_ev_per_atom": -0.473, "final_energy_ev_per_cell": -39.9, "magnetic_moment_mub_per_fu": 0.0, "cell": [[-0.204, 1.008, 3.980], [-3.041, -2.714, 0.532], [8.036, -5.930, -0.209]], "species": ["Cu", "Cu", "Ge", "Ge", "Ge", "Ge", "Pm", "Pm"], "fractional_positions": [[0.250, 0.750, 0.500], [0.750, 0.250, 0.500], [0.000, 0.500, 0.000], [0.321, 0.321, 0.643], [0.679, 0.679, 0.357], [0.500, 0.000, 0.000], [0.119, 0.119, 0.238], [0.881, 0.881, 0.762]]}

---

> Which formula does entry 3 have?

InNi2AsPt